# 1
The following is a DFT calculation (PBE) of an optimized crystal structure of ZnCd2Co.

Lattice parameters (Å, degrees): 9.7044 9.7044 9.7044 17.25 17.25 17.25
Atoms (fractional coordinates):
Zn (0.0000, 0.0000, 0.0000)
Cd (0.2426, 0.2426, 0.2426)
Cd (0.7574, 0.7574, 0.7574)
Co (0.5000, 0.5000, 0.5000)

Values from the calculation:
E_form   0.30 eV/atom
Total DFT energy (no corrections)   -2.25 eV/atom
Calculated volume   17.53 A^3/atom
Calculated density   8.269 Mg/m³
Total moment   0.3775 μB per atom

---

# 2
The following is a DFT calculation (PBE) of an optimized crystal structure of Zr6InOs.

Lattice parameters (Å, degrees): 5.5934 5.5934 5.5934 94.12 94.12 94.12
Atoms (fractional coordinates):
Zr (0.0201, 0.5519, 0.7633)
Zr (0.2367, 0.9799, 0.4481)
Zr (0.4481, 0.2367, 0.9799)
Zr (0.5519, 0.7633, 0.0201)
Zr (0.7633, 0.0201, 0.5519)
Zr (0.9799, 0.4481, 0.2367)
In (0.5000, 0.5000, 0.5000)
Os (0.0000, 0.0000, 0.0000)

Values from the calculation:
E_form   -0.20 eV/atom
Total DFT energy (no corrections)   -8.36 eV/atom
Calculated volume   21.70 A^3/atom
Calculated density   8.154 Mg/m³
Total moment   0.0000 μB per atom

---

# 3
The following is a DFT calculation (PBE) of an optimized crystal structure of RbCuW.

Lattice parameters (Å, degrees): 4.7991 4.8073 11.0323 88.59 85.57 61.99
Atoms (fractional coordinates):
Rb (0.0000, 0.0000, 0.0000)
Rb (0.1872, 0.4097, 0.4207)
Cu (0.1177, 0.9417, 0.6547)
Cu (0.6196, 0.4408, 0.6554)
W (0.1028, 0.4454, 0.7420)
W (0.6018, 0.9432, 0.7351)

Values from the calculation:
E_form   0.90 eV/atom
Total DFT energy (no corrections)   -5.11 eV/atom
Calculated volume   37.34 A^3/atom
Calculated density   4.934 Mg/m³
Total moment   0.0000 μB per atom
E above lowest polymorph   0.203 eV/atom

---

# 4
The following is a DFT calculation (PBE) of an optimized crystal structure of Ba8As3IBr4.

Lattice parameters (Å, degrees): 9.6267 9.6267 9.6267 60.16 60.16 60.16
Atoms (fractional coordinates):
Ba (0.2224, 0.7539, 0.7539)
Ba (0.2408, 0.2408, 0.2408)
Ba (0.2461, 0.2461, 0.7776)
Ba (0.2461, 0.7776, 0.2461)
Ba (0.7539, 0.2224, 0.7539)
Ba (0.7539, 0.7539, 0.2224)
Ba (0.7592, 0.7592, 0.7592)
Ba (0.7776, 0.2461, 0.2461)
As (0.0000, 0.0000, 0.5000)
As (0.0000, 0.5000, 0.0000)
As (0.5000, 0.0000, 0.0000)
I (0.5000, 0.5000, 0.5000)
Br (0.0000, 0.0000, 0.0000)
Br (0.0000, 0.5000, 0.5000)
Br (0.5000, 0.0000, 0.5000)
Br (0.5000, 0.5000, 0.0000)

Values from the calculation:
Total DFT energy (no corrections)   -3.92 eV/atom
Calculated volume   39.57 A^3/atom
Calculated density   4.642 Mg/m³
Formation energy from raw total energies   -25.08 eV/f.u.
Total moment   0.0000 μB per atom

---

# 5
The following is a DFT calculation (PBE) of an optimized crystal structure of HoLuHg2.

Lattice parameters (Å, degrees): 3.6610 3.6610 7.4185 90.00 90.00 90.00
Atoms (fractional coordinates):
Ho (0.0000, 0.0000, 0.0000)
Lu (0.0000, 0.0000, 0.5000)
Hg (0.5000, 0.5000, 0.2579)
Hg (0.5000, 0.5000, 0.7421)

Values from the calculation:
E_form   -0.47 eV/atom
Total DFT energy (no corrections)   -2.90 eV/atom
Calculated volume   24.86 A^3/atom
Calculated density   12.376 Mg/m³
Total moment   0.0001 μB per atom

---

# 6
The following is a DFT calculation (PBE) of an optimized crystal structure of Ca4SeS2Cl.

Lattice parameters (Å, degrees): 7.0524 7.0524 7.0524 131.83 131.83 70.50
Atoms (fractional coordinates):
Ca (0.0000, 0.5000, 0.5000)
Ca (0.2469, 0.2469, 0.0000)
Ca (0.5000, 0.0000, 0.5000)
Ca (0.7531, 0.7531, 0.0000)
Se (0.0000, 0.0000, 0.0000)
S (0.2500, 0.7500, 0.5000)
S (0.7500, 0.2500, 0.5000)
Cl (0.5000, 0.5000, 0.0000)

Values from the calculation:
Total DFT energy (no corrections)   -4.67 eV/atom
Calculated volume   23.86 A^3/atom
Calculated density   2.948 Mg/m³
Formation energy from raw total energies   -15.76 eV/f.u.
Total moment   0.0000 μB per atom

---

- What is the calculated volume in the sixth record?
  23.86 A^3/atom

---

- Number 3 is which compound?
  RbCuW

---

- The lowest calculated volume belongs to which entry?
  ZnCd2Co

---

- What is the total moment in the third record?
  0.0000 μB per atom